1.
An optimized crystal structure of Sm5TmCd6. Source: Alexandria via LeMat-Bulk, functional GGA-PBE.

- Energy of formation from the pure elements: -0.313 eV/atom
- Magnetic moment: 1.914 μB per formula unit
- E: -37.32 eV for the cell shown
- Density of states at the Fermi level: 14.52 states/eV per cell

```
Sm5TmCd6
1.0
2.673 -8.031 0.000
2.673 8.031 0.000
0.000 0.000 7.644
Sm Tm Cd
5 1 6
direct
0.000 0.000 0.000
0.331 0.669 0.000
0.334 0.666 0.500
0.666 0.334 0.500
0.669 0.331 0.000
0.000 0.000 0.500
0.164 0.836 0.255
0.164 0.836 0.745
0.500 0.500 0.255
0.500 0.500 0.745
0.836 0.164 0.255
0.836 0.164 0.745
```

=====

2.
An optimized crystal structure of ZrCoSb2. Source: Alexandria via LeMat-Bulk, functional GGA-PBE.

- Magnetic moment: 0.514 μB per formula unit
- E: -49.63 eV for the cell shown
- Energy relative to the elements, uncorrected: -229 meV per atom
- Density of states at the Fermi level: 6.76 states/eV per cell

```
ZrCoSb2
1.0
3.978 0.000 0.000
0.000 3.880 0.000
0.000 0.000 10.742
Zr Co Sb
2 2 4
direct
0.000 0.000 0.000
0.000 0.500 0.500
0.500 0.000 0.170
0.500 0.500 0.670
0.000 0.000 0.714
0.000 0.500 0.214
0.500 0.000 0.410
0.500 0.500 0.910
```

=====

3.
An optimized crystal structure of Tb5SmRh4. Source: Alexandria via LeMat-Bulk, functional GGA-PBE.

- Energy of formation from the pure elements: -0.632 eV/atom
- Magnetic moment: 0.000 μB per formula unit
- E: -63.60 eV for the cell shown
- Density of states at the Fermi level: 4.73 states/eV per cell

```
Tb5SmRh4
1.0
9.053 -2.128 0.000
9.053 2.128 0.000
-3.002 0.000 6.741
Tb Sm Rh
5 1 4
direct
0.000 0.000 0.000
0.335 0.335 0.091
0.335 0.335 0.579
0.665 0.665 0.421
0.665 0.665 0.909
0.000 0.000 0.500
0.199 0.199 0.700
0.500 0.500 0.236
0.500 0.500 0.764
0.801 0.801 0.300
```

=====

4.
An optimized crystal structure of CeLuFeTc. Source: Alexandria via LeMat-Bulk, functional GGA-PBE.

- Energy of formation from the pure elements: 0.020 eV/atom
- Magnetic moment: 1.191 μB per formula unit
- E: -116.81 eV for the cell shown
- Density of states at the Fermi level: 21.57 states/eV per cell

```
CeLuFeTc
1.0
6.736 0.000 0.000
0.000 6.736 0.000
0.000 0.000 6.736
Ce Lu Fe Tc
4 4 4 4
direct
0.000 0.000 0.000
0.000 0.500 0.500
0.500 0.000 0.500
0.500 0.500 0.000
0.000 0.000 0.500
0.000 0.500 0.000
0.500 0.000 0.000
0.500 0.500 0.500
0.250 0.250 0.750
0.250 0.750 0.250
0.750 0.250 0.250
0.750 0.750 0.750
0.250 0.250 0.250
0.250 0.750 0.750
0.750 0.250 0.750
0.750 0.750 0.250
```

=====

What did the second record say?
An optimized crystal structure of ZrCoSb2. Source: Alexandria via LeMat-Bulk, functional GGA-PBE.

- Magnetic moment: 0.514 μB per formula unit
- E: -49.63 eV for the cell shown
- Energy relative to the elements, uncorrected: -229 meV per atom
- Density of states at the Fermi level: 6.76 states/eV per cell

```
ZrCoSb2
1.0
3.978 0.000 0.000
0.000 3.880 0.000
0.000 0.000 10.742
Zr Co Sb
2 2 4
direct
0.000 0.000 0.000
0.000 0.500 0.500
0.500 0.000 0.170
0.500 0.500 0.670
0.000 0.000 0.714
0.000 0.500 0.214
0.500 0.000 0.410
0.500 0.500 0.910
```

=====

What did the first record say?
An optimized crystal structure of Sm5TmCd6. Source: Alexandria via LeMat-Bulk, functional GGA-PBE.

- Energy of formation from the pure elements: -0.313 eV/atom
- Magnetic moment: 1.914 μB per formula unit
- E: -37.32 eV for the cell shown
- Density of states at the Fermi level: 14.52 states/eV per cell

```
Sm5TmCd6
1.0
2.673 -8.031 0.000
2.673 8.031 0.000
0.000 0.000 7.644
Sm Tm Cd
5 1 6
direct
0.000 0.000 0.000
0.331 0.669 0.000
0.334 0.666 0.500
0.666 0.334 0.500
0.669 0.331 0.000
0.000 0.000 0.500
0.164 0.836 0.255
0.164 0.836 0.745
0.500 0.500 0.255
0.500 0.500 0.745
0.836 0.164 0.255
0.836 0.164 0.745
```